Record 1
FeGe | PBE-GGA | optimized geometry

The volume comes out at 100 Å³ per cell. The value obtained for the total energy is -52.19 eV for the cell shown. The calculation puts the mass density at 8.544 g/cm3.

a = 8.7215 Å, b = 2.8707 Å, c = 4.1324 Å
α = 90.00°, β = 105.12°, γ = 90.00°
Closest atoms and distances in Å follow each position.
Space group C2/m (No. 12)
One atom of each set of equivalent atoms:
Fe 0.1183 0.0000 0.3002 [4 per cell]  7 Ge 2.42-2.52
Ge 0.1210 0.5000 0.8018 [4 per cell]  7 Fe 2.42-2.52

Record 2
Fe3Ge4 | PBE-GGA | optimized geometry

The volume comes out at 218 Å³ per cell. The value obtained for the total energy is -83.72 eV for the cell shown. The excess energy over the best structure of this formula in the dataset comes out at 22 meV per atom. The calculation puts the mass density at 6.995 g/cm3.

a = 4.7988 Å, b = 4.7988 Å, c = 9.4452 Å
α = 90.00°, β = 90.00°, γ = 90.00°
Closest atoms and distances in Å follow each position.
Space group I4/mmm (No. 139)
One atom of each set of equivalent atoms:
Fe 0.0000 0.0000 0.0000 [2 per cell]  4 Ge 2.40
Fe 0.0000 0.5000 0.2500 [4 per cell]  6 Ge 2.36-2.43
Ge 0.0000 0.0000 0.2931 [4 per cell]  4 Fe 2.43
Ge 0.0000 0.5000 0.0000 [4 per cell]  4 Fe 2.36-2.40

Record 3
FeGe | PBE-GGA | optimized geometry

The volume comes out at 170 Å³ per cell. The value obtained for the total energy is -77.90 eV for the cell shown. The calculation puts the mass density at 7.536 g/cm3.

a = 3.9040 Å, b = 7.7149 Å, c = 5.6397 Å
α = 90.00°, β = 90.00°, γ = 90.00°
Closest atoms and distances in Å follow each position.
Space group Amm2 (No. 38)
One atom of each set of equivalent atoms:
Fe 0.0000 0.0000 0.0000 [2 per cell]  6 Ge 2.38-2.64, 4 Fe 2.48
Fe 0.5000 0.1962 0.9646 [4 per cell]  6 Ge 2.43-2.63, 2 Fe 2.48
Ge 0.0000 0.1771 0.6542 [4 per cell]  6 Fe 2.38-2.64
Ge 0.5000 0.0000 0.3164 [2 per cell]  6 Fe 2.49-2.64

Record 4
FeGe | PBE-GGA | optimized geometry

The volume comes out at 261 Å³ per cell. The value obtained for the total energy is -101.90 eV for the cell shown. The calculation puts the mass density at 6.545 g/cm3.

a = 8.3428 Å, b = 8.3428 Å, c = 3.7466 Å
α = 90.00°, β = 90.00°, γ = 90.00°
Closest atoms and distances in Å follow each position.
Space group I4/m (No. 87)
One atom of each set of equivalent atoms:
Fe 0.0822 0.6147 0.0000 [8 per cell]  4 Ge 2.28-2.48, 5 Fe 2.35-2.51
Ge 0.1399 0.2253 0.0000 [8 per cell]  4 Fe 2.28-2.48

Which E_form belongs to each record? In order, 0.033; 1.995; 0.097; 0.342 eV per formula unit.